Entry 1:
# GGA-PBE Sr2TlPt, relaxed
# offset from the most stable computed form: 0.00 eV per formula unit
# E_tot: -0.2581 Ry/atom
# D(E_F): 2.29 states/eV per cell
data_Sr2TlPt
_cell_length_a 3.794
_cell_length_b 3.745
_cell_length_c 8.337
_cell_angle_alpha 90.00
_cell_angle_beta 90.08
_cell_angle_gamma 90.00
_symmetry_space_group_name_H-M 'P 1 2/m 1'
_symmetry_Int_Tables_number 10
loop_
_symmetry_equiv_pos_as_xyz
'x,y,z'
'-x,-y,-z'
'-x,y,-z'
'x,-y,z'
loop_
_atom_site_label
_atom_site_fract_x
_atom_site_fract_y
_atom_site_fract_z
_atom_site_occupancy
Sr1 0.000 0.000 0.213 1
Tl1 0.500 0.500 0.500 1
Pt1 0.500 0.500 0.000 1

***

Entry 2:
# GGA-PBE Sr3TlPt8, relaxed
# E_tot: -0.3953 Ry/atom
# D(E_F): 14.84 states/eV per cell
data_Sr3TlPt8
_cell_length_a 5.5499
_cell_length_b 5.5499
_cell_length_c 27.0496
_cell_angle_alpha 90.00
_cell_angle_beta 90.00
_cell_angle_gamma 120.00
_symmetry_space_group_name_H-M 'R 3 m'
_symmetry_Int_Tables_number 160
_symmetry_space_group_name_Hall 'R 3 -2"'
loop_
_atom_site_label
_atom_site_fract_x
_atom_site_fract_y
_atom_site_fract_z
_atom_site_occupancy
Sr1 0.0000 0.0000 0.0000 1
Sr2 0.0000 0.0000 0.1274 1
Sr3 0.0000 0.0000 0.6213 1
Tl1 0.0000 0.0000 0.4987 1
Pt1 0.0000 0.0000 0.3122 1
Pt2 0.0000 0.0000 0.8125 1
Pt3 0.0003 0.5002 0.5620 1
Pt4 0.0014 0.5007 0.0625 1

***

Entry 3:
# GGA-PBE SrTlPt2, relaxed
# E_tot: -0.3318 Ry/atom
# D(E_F): 6.36 states/eV per cell
data_SrTlPt2
_cell_length_a 7.902
_cell_length_b 4.557
_cell_length_c 6.284
_cell_angle_alpha 90.00
_cell_angle_beta 114.84
_cell_angle_gamma 90.00
_symmetry_space_group_name_H-M 'C 1 m 1'
_symmetry_Int_Tables_number 8
loop_
_symmetry_equiv_pos_as_xyz
'x,y,z'
'x,-y,z'
'x+1/2,y+1/2,z'
'x+1/2,-y+1/2,z'
loop_
_atom_site_label
_atom_site_fract_x
_atom_site_fract_y
_atom_site_fract_z
_atom_site_occupancy
Sr1 0.000 0.000 0.000 1
Tl1 0.201 0.000 0.601 1
Pt1 0.282 0.500 0.346 1
Pt2 0.448 0.000 0.343 1

***

Entry 4:
# GGA-PBE SrTl2Pt, relaxed
# E_tot: -0.2554 Ry/atom
# D(E_F): 4.89 states/eV per cell
data_SrTl2Pt
_cell_length_a 11.967
_cell_length_b 3.754
_cell_length_c 5.387
_cell_angle_alpha 90.00
_cell_angle_beta 116.68
_cell_angle_gamma 90.00
_symmetry_space_group_name_H-M 'C 1 2/m 1'
_symmetry_Int_Tables_number 12
loop_
_symmetry_equiv_pos_as_xyz
'x,y,z'
'-x,-y,-z'
'-x,y,-z'
'x,-y,z'
'x+1/2,y+1/2,z'
'-x+1/2,-y+1/2,-z'
'-x+1/2,y+1/2,-z'
'x+1/2,-y+1/2,z'
loop_
_atom_site_label
_atom_site_fract_x
_atom_site_fract_y
_atom_site_fract_z
_atom_site_occupancy
Sr1 0.000 0.000 0.000 1
Tl1 0.207 0.000 0.707 1
Pt1 0.000 0.500 0.500 1

***

Entry 5:
# GGA-PBE Sr2TlPt, relaxed
# offset from the most stable computed form: 0.08 eV per formula unit
# E_tot: -0.2567 Ry/atom
# D(E_F): 5.33 states/eV per cell
data_Sr2TlPt
_cell_length_a 4.743
_cell_length_b 4.501
_cell_length_c 11.804
_cell_angle_alpha 90.00
_cell_angle_beta 90.00
_cell_angle_gamma 90.00
_symmetry_space_group_name_H-M 'A m m 2'
_symmetry_Int_Tables_number 38
loop_
_symmetry_equiv_pos_as_xyz
'x,y,z'
'-x,-y,z'
'-x,y,z'
'x,-y,z'
'x,y+1/2,z+1/2'
'-x,-y+1/2,z+1/2'
'-x,y+1/2,z+1/2'
'x,-y+1/2,z+1/2'
loop_
_atom_site_label
_atom_site_fract_x
_atom_site_fract_y
_atom_site_fract_z
_atom_site_occupancy
Sr1 0.000 0.000 0.000 1
Sr2 0.500 0.000 0.287 1
Tl1 0.500 0.000 0.580 1
Pt1 0.000 0.000 0.716 1

***

Entry 6:
# GGA-PBE SrTlPt2, relaxed
# E_tot: -0.3112 Ry/atom
# D(E_F): 7.33 states/eV per cell
data_SrTlPt2
_cell_length_a 7.066
_cell_length_b 7.066
_cell_length_c 7.066
_cell_angle_alpha 90.00
_cell_angle_beta 90.00
_cell_angle_gamma 90.00
_symmetry_space_group_name_H-M 'F -4 3 m'
_symmetry_Int_Tables_number 216
_symmetry_space_group_name_Hall 'F -4 2 3'
loop_
_atom_site_label
_atom_site_fract_x
_atom_site_fract_y
_atom_site_fract_z
_atom_site_occupancy
Sr1 0.000 0.000 0.000 1
Tl1 0.250 0.250 0.250 1
Pt1 0.000 0.000 0.500 1
Pt2 0.250 0.250 0.750 1

***

- Among the records above, which one has the lowest D(E_F)?
  number 1

***

- Which of these has the highest E_tot?
  SrTl2Pt